DFT (PBE with a Hubbard U) results for crystalline BaMn2FeSi2O9 at its relaxed geometry.

Results
* energy: -112.4 eV per formula unit
* M_tot: 14.0 μB/f.u.
* SG: C2/m

a b c (Å): 10.894 10.894 5.460
angles (deg): 84.16 84.16 37.52
Each line ends with the local moment (μB).
Atoms (fractional coordinates):
O: 0.959 0.959 0.203  -0.15
Fe: 0.359 0.359 0.207  4.34
O: 0.479 0.860 0.034  0.08
O: 0.521 0.140 0.966  0.08
Mn: 0.000 0.000 0.500  3.99
Ba: 0.219 0.219 0.762  0.01
Si: 0.363 0.910 0.297  0.01
O: 0.840 0.840 0.713  0.01
O: 0.451 0.451 0.173  0.14
Mn: 0.500 0.500 0.500  4.66
Mn: 0.762 0.238 0.000  4.45
O: 0.549 0.549 0.827  0.14
Fe: 0.641 0.641 0.793  4.34
Si: 0.637 0.090 0.703  0.01
O: 0.519 0.140 0.470  0.08
O: 0.140 0.519 0.470  0.08
O: 0.702 0.185 0.670  0.04
O: 0.481 0.860 0.530  0.08
Si: 0.090 0.637 0.703  0.01
O: 0.160 0.160 0.287  0.01
O: 0.185 0.702 0.670  0.04
Ba: 0.781 0.781 0.238  0.01
O: 0.041 0.041 0.797  -0.15
O: 0.815 0.298 0.330  0.04
O: 0.860 0.479 0.034  0.08
O: 0.140 0.521 0.966  0.08
O: 0.298 0.815 0.330  0.04
O: 0.860 0.481 0.530  0.08
Si: 0.910 0.363 0.297  0.01
Mn: 0.238 0.762 0.000  4.45